DFT (GGA+U) results for CrGa2PdO after structural relaxation.

Cell and atoms, written as extended XYZ:
```
5
Lattice="5.121 0.000 0.000 0.000 3.516 0.000 0.000 0.000 5.121" Properties=species:S:1:pos:R:3 pbc="T T T"
O 0.000 1.758 0.000
Cr 0.000 0.000 0.000
Ga 0.000 0.000 2.561
Ga 2.561 0.000 0.000
Pd 2.561 1.758 2.561
```

Its crystal system is tetragonal. As for the total energy: -23.76 eV/cell.